A plane-wave DFT calculation with PBE was carried out for crystalline Eu3SbH at its relaxed geometry.

POSCAR file:
```
Eu3SbH
1.0
5.020 0.000 0.000
0.000 5.020 0.000
0.000 0.000 5.020
Eu Sb H
3 1 1
Direct
0.000 0.500 0.000
0.000 0.000 0.500
0.500 0.000 0.000
0.500 0.500 0.500
0.000 0.000 0.000
```

Computed properties:
For the calculated volume, the calculation gives 25.3 Å³ per atom. For the calculated total energy, the calculation gives -41.51 eV for the cell shown. As for the density of states at the Fermi level: 5.15 states/eV/f.u. For the spin magnetization, the calculation gives 4.569 μB/atom. As for the space group: No. 221.